The following is a DFT calculation (GGA-PBE) of B3Mo2 after structural relaxation. Values from VASP.

```
&SYSTEM
  ibrav = 0, nat = 5, ntyp = 2
/
ATOMIC_SPECIES
B 10.81 B.upf
Mo 95.94 Mo.upf
ATOMIC_POSITIONS crystal
B 0.0000 0.0000 0.0000
B 0.1719 0.1719 0.0000
B 0.9087 0.4087 0.5000
Mo 0.3332 0.8332 0.5000
Mo 0.5872 0.5872 0.0000
CELL_PARAMETERS angstrom
-1.5229 1.5512 5.1947
1.5229 -1.5512 5.1947
1.5229 1.5512 -5.1947
```

Calculated values
Space group: No. 44
Electronic total energy (Ha/atom): -0.321
Formation energy from the elements (kJ per mole of atoms): -36.9

---

The following is a DFT calculation (GGA-PBE) of BMo4 after structural relaxation. Values from VASP.

```
&SYSTEM
  ibrav = 0, nat = 5, ntyp = 2
/
ATOMIC_SPECIES
B 10.81 B.upf
Mo 95.94 Mo.upf
ATOMIC_POSITIONS crystal
B 0.0000 0.0000 0.0000
Mo 0.0000 0.0000 0.5000
Mo 0.0000 0.5000 0.0000
Mo 0.5000 0.0000 0.0000
Mo 0.5000 0.5000 0.5000
CELL_PARAMETERS angstrom
4.1971 0.0000 0.0000
0.0000 4.1971 0.0000
0.0000 0.0000 4.1971
```

Calculated values
Space group: No. 221
Electronic total energy (Ha/atom): -0.357
Formation energy from the elements (kJ per mole of atoms): 26.5

---

The following is a DFT calculation (GGA-PBE) of BMo after structural relaxation. Values from VASP.

```
&SYSTEM
  ibrav = 0, nat = 12, ntyp = 2
/
ATOMIC_SPECIES
B 10.81 B.upf
Mo 95.94 Mo.upf
ATOMIC_POSITIONS crystal
B 0.0000 0.2500 0.5000
B 0.0000 0.7500 0.5000
B 0.2500 0.5000 0.0000
B 0.5000 0.0000 0.2500
B 0.5000 0.0000 0.7500
B 0.7500 0.5000 0.0000
Mo 0.0000 0.5000 0.2500
Mo 0.0000 0.5000 0.7500
Mo 0.2500 0.0000 0.5000
Mo 0.5000 0.2500 0.0000
Mo 0.5000 0.7500 0.0000
Mo 0.7500 0.0000 0.5000
CELL_PARAMETERS angstrom
5.9439 0.0000 0.0000
0.0000 5.9439 0.0000
0.0000 0.0000 5.9439
```

Calculated values
Space group: No. 223
Electronic total energy (Ha/atom): -0.288
Formation energy from the elements (kJ per mole of atoms): 89.0